1.
Compound: Zr4FeHg
Source: Alexandria via LeMat-Bulk
Functional: PBE
Structure: relaxed

Cell: 8.045 8.045 8.045 Å, 90.00 90.00 90.00°
Space group F-43m (No. 216)
Inequivalent atoms, fractional coordinates:
Zr 0.124 0.124 0.124 (multiplicity 16)
Fe 0.250 0.250 0.750 (multiplicity 4)
Hg 0.000 0.000 0.500 (multiplicity 4)

Computed properties:
As for the total magnetic moment: 10.22 Bohr magnetons per cell. The formation energy comes out at 0.498 eV/atom. Its distance to the lowest polymorph of the same formula is 0.602 eV/atom. The total energy is -159.869 eV/cell.

***

2.
Compound: ZrFe2Hg
Source: Alexandria via LeMat-Bulk
Functional: PBE
Structure: relaxed

Cell: 2.923 2.923 8.003 Å, 90.00 90.00 90.00°
Space group P4/mmm (No. 123)
Inequivalent atoms, fractional coordinates:
Zr 0.000 0.000 0.000 (multiplicity 1)
Fe 0.500 0.500 0.256 (multiplicity 2)
Hg 0.000 0.000 0.500 (multiplicity 1)

Computed properties:
As for the total magnetic moment: 4.87 Bohr magnetons per cell. The formation energy comes out at 0.331 eV/atom. The total energy is -24.450 eV/cell.

***

3.
Compound: ZrFeHg2
Source: Alexandria via LeMat-Bulk
Functional: PBE
Structure: relaxed

Cell: 6.098 8.526 3.034 Å, 90.00 90.36 90.00°
Space group C2/m (No. 12)
Inequivalent atoms, fractional coordinates:
Zr 0.000 0.000 0.000 (multiplicity 2)
Fe 0.000 0.500 0.000 (multiplicity 2)
Hg 0.250 0.250 0.500 (multiplicity 4)

Computed properties:
As for the total magnetic moment: 5.00 Bohr magnetons per cell. The formation energy comes out at 0.243 eV/atom. Its distance to the lowest polymorph of the same formula is 0.151 eV/atom. The total energy is -33.282 eV/cell.

***

4.
Compound: ZrFeHg2
Source: Alexandria via LeMat-Bulk
Functional: PBE
Structure: relaxed

Cell: 4.354 4.354 8.132 Å, 90.00 90.00 90.00°
Space group I-4m2 (No. 119)
Inequivalent atoms, fractional coordinates:
Zr 0.000 0.000 0.000 (multiplicity 2)
Fe 0.000 0.500 0.750 (multiplicity 2)
Hg 0.000 0.000 0.500 (multiplicity 2)
Hg 0.000 0.500 0.250 (multiplicity 2)

Computed properties:
As for the total magnetic moment: 3.59 Bohr magnetons per cell. The formation energy comes out at 0.192 eV/atom. Its distance to the lowest polymorph of the same formula is 0.100 eV/atom. The total energy is -33.693 eV/cell.

***

5.
Compound: ZrFe2Hg
Source: Alexandria via LeMat-Bulk
Functional: PBE
Structure: relaxed

Cell: 3.096 3.124 6.898 Å, 90.00 90.00 90.00°
Space group Pmm2 (No. 25)
Inequivalent atoms, fractional coordinates:
Zr 0.000 0.000 0.000 (multiplicity 1)
Fe 0.000 0.000 0.583 (multiplicity 1)
Fe 0.500 0.500 0.756 (multiplicity 1)
Hg 0.500 0.500 0.328 (multiplicity 1)

Computed properties:
As for the total magnetic moment: 4.36 Bohr magnetons per cell. The formation energy comes out at 0.049 eV/atom. The total energy is -25.578 eV/cell.

***

6.
Compound: ZrFe2Hg
Source: Alexandria via LeMat-Bulk
Functional: PBE
Structure: relaxed

Cell: 6.462 6.462 6.462 Å, 90.00 90.00 90.00°
Space group F-43m (No. 216)
Inequivalent atoms, fractional coordinates:
Zr 0.000 0.000 0.000 (multiplicity 4)
Fe 0.000 0.000 0.500 (multiplicity 4)
Fe 0.250 0.250 0.250 (multiplicity 4)
Hg 0.250 0.250 0.750 (multiplicity 4)

Computed properties:
As for the total magnetic moment: 18.18 Bohr magnetons per cell. The formation energy comes out at 0.221 eV/atom. The total energy is -99.573 eV/cell.

***

7.
Compound: ZrFe2Hg
Source: Alexandria via LeMat-Bulk
Functional: PBE
Structure: relaxed

Cell: 3.363 4.377 8.945 Å, 90.00 90.00 90.00°
Space group Imm2 (No. 44)
Inequivalent atoms, fractional coordinates:
Zr 0.000 0.000 0.000 (multiplicity 2)
Fe 0.000 0.000 0.467 (multiplicity 2)
Fe 0.000 0.500 0.770 (multiplicity 2)
Hg 0.000 0.500 0.225 (multiplicity 2)

Computed properties:
As for the total magnetic moment: 7.02 Bohr magnetons per cell. The formation energy comes out at 0.107 eV/atom. The total energy is -50.698 eV/cell.

***

8.
Compound: Zr4FeHg
Source: Alexandria via LeMat-Bulk
Functional: PBE
Structure: relaxed

Cell: 8.059 11.949 5.481 Å, 90.00 107.05 90.00°
Space group C2/c (No. 15)
Inequivalent atoms, fractional coordinates:
Zr 0.108 0.179 0.059 (multiplicity 8)
Zr 0.228 0.416 0.372 (multiplicity 8)
Fe 0.000 0.002 0.750 (multiplicity 4)
Hg 0.000 0.385 0.750 (multiplicity 4)

Computed properties:
As for the total magnetic moment: 0.00 Bohr magnetons per cell. The formation energy comes out at -0.104 eV/atom. Its distance to the lowest polymorph of the same formula is 0.000 eV/atom. The total energy is -174.317 eV/cell.

***

9.
Compound: ZrFeHg2
Source: Alexandria via LeMat-Bulk
Functional: PBE
Structure: relaxed

Cell: 3.322 3.322 7.142 Å, 90.00 90.00 90.00°
Space group P4mm (No. 99)
Inequivalent atoms, fractional coordinates:
Zr 0.000 0.000 0.000 (multiplicity 1)
Fe 0.500 0.500 0.180 (multiplicity 1)
Hg 0.000 0.000 0.419 (multiplicity 1)
Hg 0.500 0.500 0.712 (multiplicity 1)

Computed properties:
As for the total magnetic moment: 1.24 Bohr magnetons per cell. The formation energy comes out at 0.092 eV/atom. Its distance to the lowest polymorph of the same formula is 0.000 eV/atom. The total energy is -17.247 eV/cell.

***

10.
Compound: ZrFeHg2
Source: Alexandria via LeMat-Bulk
Functional: PBE
Structure: relaxed

Cell: 3.3514 3.3514 25.8076 Å, 90.00 90.00 120.00°
Space group R3m (No. 160, hexagonal axes)
Inequivalent atoms, fractional coordinates:
Zr 0.0000 0.0000 0.0000 (multiplicity 3)
Fe 0.0000 0.0000 0.7335 (multiplicity 3)
Hg 0.0000 0.0000 0.2391 (multiplicity 3)
Hg 0.0000 0.0000 0.4774 (multiplicity 3)

Computed properties:
As for the total magnetic moment: 4.63 Bohr magnetons per cell. The formation energy comes out at 0.194 eV/atom. Its distance to the lowest polymorph of the same formula is 0.102 eV/atom. The total energy is -50.515 eV/cell.

***

11.
Compound: Zr5Fe2Hg2
Source: Alexandria via LeMat-Bulk
Functional: PBE
Structure: relaxed

Cell: 15.062 7.181 6.917 Å, 90.00 90.00 90.00°
Space group Cmce (No. 64)
Inequivalent atoms, fractional coordinates:
Zr 0.000 0.000 0.000 (multiplicity 4)
Zr 0.111 0.170 0.340 (multiplicity 16)
Fe 0.000 0.133 0.636 (multiplicity 8)
Hg 0.219 0.000 0.000 (multiplicity 8)

Computed properties:
As for the total magnetic moment: 0.00 Bohr magnetons per cell. The formation energy comes out at -0.135 eV/atom. The total energy is -245.945 eV/cell.

***

12.
Compound: ZrFe2Hg
Source: Alexandria via LeMat-Bulk
Functional: PBE
Structure: relaxed

Cell: 3.986 3.986 18.658 Å, 90.00 90.00 90.00°
Space group I-42d (No. 122)
Inequivalent atoms, fractional coordinates:
Zr 0.000 0.000 0.000 (multiplicity 4)
Fe 0.232 0.250 0.125 (multiplicity 8)
Hg 0.000 0.000 0.500 (multiplicity 4)

Computed properties:
As for the total magnetic moment: 18.64 Bohr magnetons per cell. The formation energy comes out at 0.591 eV/atom. The total energy is -93.639 eV/cell.

***

13.
Compound: ZrFe4Hg
Source: Alexandria via LeMat-Bulk
Functional: PBE
Structure: relaxed

Cell: 7.004 7.004 7.004 Å, 90.00 90.00 90.00°
Space group F-43m (No. 216)
Inequivalent atoms, fractional coordinates:
Zr 0.000 0.000 0.000 (multiplicity 4)
Fe 0.125 0.125 0.375 (multiplicity 16)
Hg 0.250 0.250 0.750 (multiplicity 4)

Computed properties:
As for the total magnetic moment: 29.40 Bohr magnetons per cell. The formation energy comes out at -0.064 eV/atom. The total energy is -172.327 eV/cell.

***

14.
Compound: ZrFeHg
Source: Alexandria via LeMat-Bulk
Functional: PBE
Structure: relaxed

Cell: 3.394 3.394 9.531 Å, 90.00 90.00 90.00°
Space group I4mm (No. 107)
Inequivalent atoms, fractional coordinates:
Zr 0.000 0.000 0.000 (multiplicity 2)
Fe 0.000 0.000 0.636 (multiplicity 2)
Hg 0.000 0.000 0.306 (multiplicity 2)

Computed properties:
As for the total magnetic moment: 2.35 Bohr magnetons per cell. The formation energy comes out at 0.030 eV/atom. Its distance to the lowest polymorph of the same formula is 0.000 eV/atom. The total energy is -34.444 eV/cell.

***

15.
Compound: ZrFe2Hg
Source: Alexandria via LeMat-Bulk
Functional: PBE
Structure: relaxed

Cell: 3.0241 3.0241 26.4217 Å, 90.00 90.00 120.00°
Space group R3m (No. 160, hexagonal axes)
Inequivalent atoms, fractional coordinates:
Zr 0.0000 0.0000 0.0000 (multiplicity 3)
Fe 0.0000 0.0000 0.2498 (multiplicity 3)
Fe 0.0000 0.0000 0.5194 (multiplicity 3)
Hg 0.0000 0.0000 0.7671 (multiplicity 3)

Computed properties:
As for the total magnetic moment: 15.69 Bohr magnetons per cell. The formation energy comes out at 0.288 eV/atom. The total energy is -73.874 eV/cell.

***

16.
Compound: ZrFeHg2
Source: Alexandria via LeMat-Bulk
Functional: PBE
Structure: relaxed

Cell: 8.037 8.037 5.115 Å, 90.00 90.00 90.00°
Space group I-42d (No. 122)
Inequivalent atoms, fractional coordinates:
Zr 0.000 0.000 0.000 (multiplicity 4)
Fe 0.000 0.000 0.500 (multiplicity 4)
Hg 0.185 0.750 0.625 (multiplicity 8)

Computed properties:
As for the total magnetic moment: 0.00 Bohr magnetons per cell. The formation energy comes out at 0.542 eV/atom. Its distance to the lowest polymorph of the same formula is 0.450 eV/atom. The total energy is -61.783 eV/cell.

***

17.
Compound: ZrFeHg
Source: Alexandria via LeMat-Bulk
Functional: PBE
Structure: relaxed

Cell: 6.478 6.478 6.478 Å, 90.00 90.00 90.00°
Space group F-43m (No. 216)
Inequivalent atoms, fractional coordinates:
Zr 0.000 0.000 0.000 (multiplicity 4)
Fe 0.250 0.250 0.250 (multiplicity 4)
Hg 0.250 0.250 0.750 (multiplicity 4)

Computed properties:
As for the total magnetic moment: 6.23 Bohr magnetons per cell. The formation energy comes out at 0.727 eV/atom. Its distance to the lowest polymorph of the same formula is 0.697 eV/atom. The total energy is -60.525 eV/cell.

***

18.
Compound: Zr6FeHg3
Source: Alexandria via LeMat-Bulk
Functional: PBE
Structure: relaxed

Cell: 10.327 6.403 7.084 Å, 90.00 104.81 90.00°
Space group C2/m (No. 12)
Inequivalent atoms, fractional coordinates:
Zr 0.116 0.248 0.347 (multiplicity 8)
Zr 0.154 0.500 0.852 (multiplicity 4)
Fe 0.000 0.500 0.500 (multiplicity 2)
Hg 0.000 0.000 0.000 (multiplicity 2)
Hg 0.164 0.000 0.732 (multiplicity 4)

Computed properties:
As for the total magnetic moment: 0.00 Bohr magnetons per cell. The formation energy comes out at 0.095 eV/atom. The total energy is -119.413 eV/cell.

***

19.
Compound: Zr6Fe2Hg
Source: Alexandria via LeMat-Bulk
Functional: PBE
Structure: relaxed

Cell: 8.490 8.788 9.802 Å, 90.00 90.00 90.00°
Space group Immm (No. 71)
Inequivalent atoms, fractional coordinates:
Zr 0.000 0.208 0.234 (multiplicity 8)
Zr 0.192 0.500 0.173 (multiplicity 8)
Zr 0.199 0.313 0.500 (multiplicity 8)
Fe 0.000 0.335 0.000 (multiplicity 4)
Fe 0.000 0.500 0.368 (multiplicity 4)
Hg 0.000 0.000 0.000 (multiplicity 2)
Hg 0.000 0.000 0.500 (multiplicity 2)

Computed properties:
As for the total magnetic moment: 0.00 Bohr magnetons per cell. The formation energy comes out at -0.116 eV/atom. The total energy is -278.225 eV/cell.

***

20.
Compound: ZrFe2Hg
Source: Alexandria via LeMat-Bulk
Functional: PBE
Structure: relaxed

Cell: 3.1075 3.1075 25.2724 Å, 90.00 90.00 120.00°
Space group R-3m (No. 166, hexagonal axes)
Inequivalent atoms, fractional coordinates:
Zr 0.0000 0.0000 0.0000 (multiplicity 3)
Fe 0.0000 0.0000 0.2526 (multiplicity 6)
Hg 0.0000 0.0000 0.5000 (multiplicity 3)

Computed properties:
As for the total magnetic moment: 12.14 Bohr magnetons per cell. The formation energy comes out at 0.407 eV/atom. The total energy is -72.444 eV/cell.

***

21.
Compound: ZrFe2Hg
Source: Alexandria via LeMat-Bulk
Functional: PBE
Structure: relaxed

Cell: 5.784 8.798 2.837 Å, 90.00 111.99 90.00°
Space group C2/m (No. 12)
Inequivalent atoms, fractional coordinates:
Zr 0.000 0.000 0.000 (multiplicity 2)
Fe 0.250 0.250 0.500 (multiplicity 4)
Hg 0.000 0.500 0.000 (multiplicity 2)

Computed properties:
As for the total magnetic moment: 7.59 Bohr magnetons per cell. The formation energy comes out at 0.352 eV/atom. The total energy is -48.738 eV/cell.

***

22.
Compound: HoFe6
Source: Alexandria via LeMat-Bulk
Functional: PBE
Structure: relaxed

Cell: 5.999 5.999 5.999 Å, 90.00 90.00 90.00°
Space group Im-3m (No. 229)
Inequivalent atoms, fractional coordinates:
Ho 0.000 0.000 0.000 (multiplicity 2)
Fe 0.000 0.250 0.500 (multiplicity 12)

Computed properties:
As for the total magnetic moment: 0.00 Bohr magnetons per cell. The formation energy comes out at 0.582 eV/atom. The total energy is -102.561 eV/cell.

***

23.
Compound: Ho2Fe17
Source: Alexandria via LeMat-Bulk
Functional: PBE
Structure: relaxed

Cell: 8.4500 8.4500 8.2272 Å, 90.00 90.00 120.00°
Space group P6_3/mmc (No. 194)
Inequivalent atoms, fractional coordinates:
Ho 0.0000 0.0000 0.2500 (multiplicity 2)
Ho 0.3333 0.6667 0.2500 (multiplicity 2)
Fe 0.0000 0.5000 0.0000 (multiplicity 6)
Fe 0.0387 0.3678 0.7500 (multiplicity 12)
Fe 0.1657 0.3315 0.0156 (multiplicity 12)
Fe 0.3333 0.6667 0.6064 (multiplicity 4)

Computed properties:
As for the total magnetic moment: 77.36 Bohr magnetons per cell. The formation energy comes out at -0.018 eV/atom. The total energy is -306.727 eV/cell.

***

24.
Compound: HoFe2
Source: Alexandria via LeMat-Bulk
Functional: PBE
Structure: relaxed

Cell: 7.235 7.235 7.235 Å, 90.00 90.00 90.00°
Space group Fd-3m (No. 227, origin choice 2)
Inequivalent atoms, fractional coordinates:
Ho 0.125 0.125 0.125 (multiplicity 8)
Fe 0.000 0.000 0.500 (multiplicity 16)

Computed properties:
As for the total magnetic moment: 27.18 Bohr magnetons per cell. The formation energy comes out at -0.101 eV/atom. The total energy is -174.456 eV/cell.

***

25.
Compound: HoFe2
Source: Alexandria via LeMat-Bulk
Functional: PBE
Structure: relaxed

Cell: 5.1503 5.1503 8.3007 Å, 90.00 90.00 120.00°
Space group P6_3/mmc (No. 194)
Inequivalent atoms, fractional coordinates:
Ho 0.3333 0.6667 0.0621 (multiplicity 4)
Fe 0.0000 0.0000 0.0000 (multiplicity 2)
Fe 0.1657 0.3313 0.7500 (multiplicity 6)

Computed properties:
As for the total magnetic moment: 13.64 Bohr magnetons per cell. The formation energy comes out at -0.082 eV/atom. The total energy is -86.992 eV/cell.